(1)
Computed, not measured: a geometry-optimized K4RbCd5 structure at the PBE level of DFT.

a = 5.3045 Å, b = 12.7014 Å, c = 12.0562 Å
α = 90.00°, β = 90.00°, γ = 90.00°
Fractional positions:
1 K 0.2478 0.5000 0.2373
2 K 0.2484 0.2964 0.0000
3 Cd 0.2505 0.2049 0.7101
4 Cd 0.2524 0.0000 0.5000
5 Cd 0.7495 0.2951 0.2101
6 Cd 0.7495 0.7049 0.2101
7 Cd 0.2505 0.7951 0.7101
8 Rb 0.2558 0.0000 0.0000
9 K 0.7516 0.7964 0.5000
10 K 0.2478 0.5000 0.7627
11 Cd 0.2505 0.2049 0.2899
12 Cd 0.2505 0.7951 0.2899
13 K 0.7522 0.0000 0.2627
14 Rb 0.7442 0.5000 0.5000
15 K 0.7516 0.2036 0.5000
16 K 0.7522 0.0000 0.7373
17 K 0.2484 0.7036 0.0000
18 Cd 0.7495 0.7049 0.7899
19 Cd 0.7476 0.5000 0.0000
20 Cd 0.7495 0.2951 0.7899

- Volume: 812.3 Å³ per cell
- Space group: Pmmn, No. 59

=====

(2)
Computed, not measured: a geometry-optimized KRb2Cd2 structure at the PBE level of DFT.

a = 5.8659 Å, b = 5.8659 Å, c = 8.7821 Å
α = 70.49°, β = 70.49°, γ = 90.00°
Fractional positions:
1 K 0.0000 0.0000 0.0000
2 Rb 0.7500 0.2500 0.5000
3 Cd 0.4076 0.4076 0.1849
4 Cd 0.5924 0.5924 0.8151
5 Rb 0.2500 0.7500 0.5000

- Volume: 266.4 Å³ per cell
- Space group: I4/mmm, No. 139

=====

(3)
Computed, not measured: a geometry-optimized KRb2Cd structure at the PBE level of DFT.

a = 6.0653 Å, b = 6.2063 Å, c = 6.2063 Å
α = 90.00°, β = 90.00°, γ = 90.00°
Fractional positions:
1 Rb 0.0000 0.5000 0.0000
2 K 0.5000 0.5000 0.5000
3 Rb 0.0000 0.0000 0.5000
4 Cd 0.5000 0.0000 0.0000

- Volume: 233.6 Å³ per cell
- Space group: P4/mmm, No. 123

=====

(4)
Computed, not measured: a geometry-optimized K5Rb3Cd2 structure at the PBE level of DFT.

a = 5.6129 Å, b = 14.9550 Å, c = 14.9550 Å
α = 90.00°, β = 90.00°, γ = 90.00°
Fractional positions:
1 Rb 0.0000 0.6686 0.1686
2 K 0.5000 0.9240 0.2211
3 K 0.5000 0.4240 0.2789
4 K 0.5000 0.0760 0.7789
5 K 0.5000 0.5760 0.7211
6 Cd 0.0000 0.3791 0.1209
7 K 0.5000 0.7789 0.9240
8 Rb 0.0000 0.8314 0.6686
9 Cd 0.0000 0.6209 0.8791
10 Rb 0.0000 0.3314 0.8314
11 Cd 0.0000 0.1209 0.6209
12 Rb 0.0000 0.5000 0.5000
13 K 0.5000 0.2789 0.5760
14 K 0.5000 0.7211 0.4240
15 K 0.5000 0.0000 0.5000
16 Rb 0.0000 0.1686 0.3314
17 K 0.5000 0.5000 0.0000
18 Cd 0.0000 0.8791 0.3791
19 Rb 0.0000 0.0000 0.0000
20 K 0.5000 0.2211 0.0760

- Volume: 1255.3 Å³ per cell
- Space group: P4/mbm, No. 127

=====

(5)
Computed, not measured: a geometry-optimized KRb3Cd structure at the PBE level of DFT.

a = 8.0808 Å, b = 8.0808 Å, c = 8.0808 Å
α = 90.00°, β = 90.00°, γ = 90.00°
Fractional positions:
1 Cd 0.5000 0.5000 0.5000
2 K 0.0000 0.0000 0.0000
3 Rb 0.0000 0.0000 0.5000
4 Rb 0.0000 0.5000 0.0000
5 Rb 0.5000 0.0000 0.0000

- Volume: 527.7 Å³ per cell
- Space group: Pm-3m, No. 221

=====

(6)
Computed, not measured: a geometry-optimized KRb12Cd5 structure at the PBE level of DFT.

a = 11.4077 Å, b = 11.4077 Å, c = 11.4077 Å
α = 103.31°, β = 112.56°, γ = 112.71°
Fractional positions:
1 Cd 0.6193 0.6193 0.0000
2 Rb 0.6926 0.6830 0.3756
3 Cd 0.5000 0.1047 0.6047
4 Rb 0.4548 0.1812 0.2736
5 Cd 0.3807 0.3807 0.0000
6 Rb 0.1990 0.4223 0.2233
7 Cd 0.5000 0.8953 0.3953
8 Cd 0.0000 0.0000 0.0000
9 Rb 0.1990 0.9757 0.7767
10 Rb 0.3074 0.6830 0.9904
11 Rb 0.3074 0.3170 0.6244
12 Rb 0.6926 0.3170 0.0096
13 K 0.0000 0.5000 0.5000
14 Rb 0.8010 0.5777 0.7767
15 Rb 0.8010 0.0243 0.2233
16 Rb 0.5452 0.8188 0.7264
17 Rb 0.9075 0.1812 0.7264
18 Rb 0.0925 0.8188 0.2736

- Volume: 1133.0 Å³ per cell
- Space group: Immm, No. 71

=====

(7)
Computed, not measured: a geometry-optimized KRb2Cd6 structure at the PBE level of DFT.

a = 5.2371 Å, b = 8.7128 Å, c = 8.7128 Å
α = 60.00°, β = 90.01°, γ = 90.01°
Fractional positions:
1 Rb 0.0000 0.3333 0.3333
2 Cd 0.5000 0.3325 0.6675
3 Cd 0.5005 0.6675 0.0000
4 Cd 0.5000 0.6675 0.3325
5 K 0.0000 0.0000 0.0000
6 Cd 0.4995 0.3325 0.0000
7 Rb 0.0000 0.6667 0.6667
8 Cd 0.5005 0.0000 0.6675
9 Cd 0.4995 0.0000 0.3325

- Volume: 344.3 Å³ per cell
- Space group: P6/mmm, No. 191

=====

(8)
Computed, not measured: a geometry-optimized K2Rb2Cd3 structure at the PBE level of DFT.

a = 6.2171 Å, b = 7.9900 Å, c = 7.8523 Å
α = 67.12°, β = 66.68°, γ = 67.10°
Fractional positions:
1 Rb 0.1700 0.4472 0.2128
2 K 0.8482 0.0174 0.2862
3 Cd 0.5000 0.0000 0.0000
4 Rb 0.8300 0.5528 0.7872
5 Cd 0.4748 0.6896 0.3608
6 Cd 0.5252 0.3104 0.6392
7 K 0.1518 0.9826 0.7138

- Volume: 317.0 Å³ per cell
- Space group: C2/m, No. 12

=====

(9)
Computed, not measured: a geometry-optimized K2RbCd6 structure at the PBE level of DFT.

a = 3.4281 Å, b = 9.8104 Å, c = 9.8104 Å
α = 69.21°, β = 79.94°, γ = 79.94°
Fractional positions:
1 Cd 0.3272 0.9679 0.3777
2 Cd 0.6728 0.0321 0.6223
3 Cd 0.5000 0.3127 0.6873
4 Cd 0.6728 0.6223 0.0321
5 K 0.8453 0.6548 0.6548
6 Cd 0.3272 0.3777 0.9679
7 Rb 0.0000 0.0000 0.0000
8 Cd 0.5000 0.6873 0.3127
9 K 0.1547 0.3452 0.3452

- Volume: 301.4 Å³ per cell
- Space group: Immm, No. 71

=====

(10)
Computed, not measured: a geometry-optimized K7Rb12Cd structure at the PBE level of DFT.

a = 8.5618 Å, b = 15.2239 Å, c = 15.2239 Å
α = 116.57°, β = 100.80°, γ = 100.80°
Fractional positions:
1 Cd 0.0000 0.0000 0.0000
2 Rb 0.0896 0.5894 0.1790
3 K 0.3186 0.2227 0.2225
4 K 0.0961 0.7775 0.0002
5 Rb 0.5464 0.9998 0.6545
6 Rb 0.8919 0.3455 0.3453
7 Rb 0.5466 0.6547 0.0002
8 Rb 0.4536 0.0002 0.3455
9 Rb 0.4534 0.3453 0.9998
10 Rb 0.4998 0.4104 0.5894
11 Rb 0.0894 0.1790 0.5896
12 Rb 0.1081 0.6545 0.6547
13 K 0.9039 0.2225 0.9998
14 K 0.6814 0.7773 0.7775
15 Rb 0.9106 0.8210 0.4104
16 K 0.5000 0.0000 0.0000
17 Rb 0.5002 0.5896 0.4106
18 Rb 0.9104 0.4106 0.8210
19 K 0.9041 0.0002 0.2227
20 K 0.0959 0.9998 0.7773

- Volume: 1658.1 Å³ per cell
- Space group: R-3m, No. 166

=====

(11)
Computed, not measured: a geometry-optimized K2RbCd structure at the PBE level of DFT.

a = 4.4838 Å, b = 4.4838 Å, c = 11.6041 Å
α = 90.00°, β = 90.00°, γ = 90.00°
Fractional positions:
1 Rb 0.5000 0.5000 0.5000
2 K 0.0000 0.0000 0.8203
3 K 0.0000 0.0000 0.1797
4 Cd 0.5000 0.5000 0.0000

- Volume: 233.3 Å³ per cell
- Space group: P4/mmm, No. 123

=====

(12)
Computed, not measured: a geometry-optimized K2RbCd structure at the PBE level of DFT.

a = 5.7953 Å, b = 5.7953 Å, c = 14.7047 Å
α = 78.64°, β = 78.64°, γ = 90.00°
Fractional positions:
1 K 0.3750 0.3473 0.7500
2 Rb 0.2500 0.7500 0.5000
3 Cd 0.7500 0.2500 0.5000
4 K 0.6527 0.1250 0.2500
5 K 0.8750 0.9027 0.7500
6 Rb 0.5000 0.5000 0.0000
7 Cd 0.0000 0.0000 0.0000
8 K 0.0973 0.6250 0.2500

- Volume: 474.3 Å³ per cell
- Space group: I-42d, No. 122

=====

no.,energy of formation from the pure elements (eV/atom),M_tot (μB per cell)
1,-0.0122,0.00
2,0.0455,0.00
3,0.0425,0.00
4,0.0018,0.00
5,0.3078,0.00
6,-0.0078,0.00
7,-0.0410,0.00
8,-0.0325,0.00
9,0.0066,0.00
10,0.0314,0.00
11,0.0053,0.00
12,0.0919,0.00